ZrHgSe2 | GGA-PBE | relaxed

Properties
Calculated total energy in eV/atom: -4.7474
Energy relative to the lowest polymorph listed for this composition in meV per atom: 199
Calculated volume in Å³ per cell: 1518.9
Formation energy (no corrections) in eV/atom: -0.7926
Crystal system: monoclinic

The structure in CIF format:
```
data_ZrHgSe2
_space_group_name_H-M_alt 'C 1 2/c 1'
_space_group_IT_number 15
_space_group_name_Hall '-C 2yc'
_cell_length_a 10.903
_cell_length_b 10.309
_cell_length_c 13.624
_cell_angle_alpha 90.00
_cell_angle_beta 97.29
_cell_angle_gamma 90.00
loop_
_atom_site_label
_atom_site_fract_x
_atom_site_fract_y
_atom_site_fract_z
Zr1 0.001 0.109 0.134
Zr2 0.244 0.362 0.348
Hg1 0.064 0.418 0.887
Hg2 0.207 0.315 0.106
Se1 0.000 0.122 0.750
Se2 0.000 0.328 0.250
Se3 0.109 0.283 0.503
Se4 0.153 0.026 0.009
Se5 0.219 0.098 0.276
```

LaDy10Ho4 | GGA-PBE | relaxed

Properties
Calculated total energy in eV/atom: -4.1339
Calculated volume in Å³ per cell: 1024.0
Formation energy from the elements in meV/atom: 483
Crystal system: tetragonal

The structure in CIF format:
```
data_LaDy10Ho4
_space_group_name_H-M_alt 'I 4/m'
_space_group_IT_number 87
_space_group_name_Hall '-I 4'
_cell_length_a 9.784
_cell_length_b 9.784
_cell_length_c 10.697
_cell_angle_alpha 90.00
_cell_angle_beta 90.00
_cell_angle_gamma 90.00
loop_
_atom_site_label
_atom_site_fract_x
_atom_site_fract_y
_atom_site_fract_z
La1 0.000 0.000 0.000
Dy1 0.000 0.500 0.250
Dy2 0.122 0.781 0.169
Ho1 0.053 0.714 0.500
```

NdSm14Dy | GGA-PBE | relaxed

Properties
Calculated total energy in eV/atom: -4.7149
Calculated volume in Å³ per cell: 1077.2
Formation energy from the elements in meV/atom: 0
Crystal system: orthorhombic

The structure in CIF format:
```
data_NdSm14Dy
_space_group_name_H-M_alt 'A m m 2'
_space_group_IT_number 38
_space_group_name_Hall 'A 2 -2'
_cell_length_a 11.729
_cell_length_b 7.283
_cell_length_c 12.611
_cell_angle_alpha 90.00
_cell_angle_beta 90.00
_cell_angle_gamma 90.00
loop_
_atom_site_label
_atom_site_fract_x
_atom_site_fract_y
_atom_site_fract_z
Nd1 0.000 0.000 0.000
Sm1 0.000 0.249 0.249
Sm2 0.249 0.000 0.666
Sm3 0.250 0.250 0.417
Sm4 0.251 0.000 0.167
Sm5 0.500 0.000 0.334
Sm6 0.500 0.000 0.833
Sm7 0.500 0.250 0.083
Dy1 0.000 0.000 0.499
```

Pm4Zn3Ag5 | GGA-PBE | relaxed

Properties
Calculated total energy in eV/atom: -3.2084
Calculated volume in Å³ per cell: 577.6
Formation energy from the elements in meV/atom: -118
Crystal system: monoclinic

The structure in CIF format:
```
data_Pm4Zn3Ag5
_space_group_name_H-M_alt 'C 1 2/m 1'
_space_group_IT_number 12
_space_group_name_Hall '-C 2y'
_cell_length_a 10.073
_cell_length_b 4.824
_cell_length_c 12.317
_cell_angle_alpha 90.00
_cell_angle_beta 105.18
_cell_angle_gamma 90.00
loop_
_atom_site_label
_atom_site_fract_x
_atom_site_fract_y
_atom_site_fract_z
Pm1 0.166 0.000 0.073
Pm2 0.195 0.500 0.346
Zn1 0.000 0.000 0.500
Zn2 0.139 0.500 0.707
Ag1 0.000 0.500 0.500
Ag2 0.020 0.500 0.893
Ag3 0.070 0.000 0.787
```

ErIn2Pd | GGA-PBE | relaxed

Properties
Calculated total energy in eV/atom: -4.2363
Calculated volume in Å³ per cell: 344.1
Formation energy from the elements in meV/atom: -428
Crystal system: cubic

The structure in CIF format:
```
data_ErIn2Pd
_space_group_name_H-M_alt 'F m -3 m'
_space_group_IT_number 225
_space_group_name_Hall '-F 4 2 3'
_cell_length_a 7.007
_cell_length_b 7.007
_cell_length_c 7.007
_cell_angle_alpha 90.00
_cell_angle_beta 90.00
_cell_angle_gamma 90.00
loop_
_atom_site_label
_atom_site_fract_x
_atom_site_fract_y
_atom_site_fract_z
Er1 0.000 0.000 0.000
In1 0.250 0.250 0.250
Pd1 0.000 0.000 0.500
```

Ca2BiPdN | GGA-PBE | relaxed

Properties
Calculated total energy in eV/atom: -4.8556
Calculated volume in Å³ per cell: 103.5
Formation energy (no corrections) in eV/atom: -0.5752
Crystal system: tetragonal

The structure in CIF format:
```
data_Ca2BiPdN
_space_group_name_H-M_alt 'P 4/m m m'
_space_group_IT_number 123
_space_group_name_Hall '-P 4 2'
_cell_length_a 4.898
_cell_length_b 4.898
_cell_length_c 4.314
_cell_angle_alpha 90.00
_cell_angle_beta 90.00
_cell_angle_gamma 90.00
loop_
_atom_site_label
_atom_site_fract_x
_atom_site_fract_y
_atom_site_fract_z
Ca1 0.000 0.500 0.000
Bi1 0.000 0.000 0.500
Pd1 0.500 0.500 0.500
N1 0.500 0.500 0.000
```

VHgPd2 | GGA-PBE | relaxed

Properties
Calculated total energy in eV/atom: -4.6939
Calculated volume in Å³ per cell: 289.4
Formation energy from the elements in meV/atom: 258
Crystal system: tetragonal

The structure in CIF format:
```
data_VHgPd2
_space_group_name_H-M_alt 'I -4 2 d'
_space_group_IT_number 122
_space_group_name_Hall 'I -4 2bw'
_cell_length_a 7.188
_cell_length_b 7.188
_cell_length_c 5.601
_cell_angle_alpha 90.00
_cell_angle_beta 90.00
_cell_angle_gamma 90.00
loop_
_atom_site_label
_atom_site_fract_x
_atom_site_fract_y
_atom_site_fract_z
V1 0.000 0.000 0.000
Hg1 0.000 0.000 0.500
Pd1 0.215 0.250 0.125
```

KBiBO4 | GGA-PBE | relaxed

Properties
Calculated total energy in eV/atom: -6.0459
Calculated volume in Å³ per cell: 421.9
Formation energy (no corrections) in eV/atom: -1.5475
Crystal system: orthorhombic

The structure in CIF format:
```
data_KBiBO4
_space_group_name_H-M_alt 'C m c m'
_space_group_IT_number 63
_space_group_name_Hall '-C 2c 2'
_cell_length_a 6.609
_cell_length_b 9.768
_cell_length_c 6.535
_cell_angle_alpha 90.00
_cell_angle_beta 90.00
_cell_angle_gamma 90.00
loop_
_atom_site_label
_atom_site_fract_x
_atom_site_fract_y
_atom_site_fract_z
K1 0.000 0.000 0.000
Bi1 0.000 0.350 0.250
B1 0.000 0.376 0.750
O1 0.000 0.276 0.580
O2 0.181 0.470 0.750
```

NbB3I | GGA-PBE | relaxed

Properties
Calculated total energy in eV/atom: -3.6424
Energy relative to the lowest polymorph listed for this composition in meV per atom: 857
Calculated volume in Å³ per cell: 79.0
Formation energy (no corrections) in eV/atom: 2.6880
Crystal system: cubic

The structure in CIF format:
```
data_NbB3I
_space_group_name_H-M_alt 'P m -3 m'
_space_group_IT_number 221
_space_group_name_Hall '-P 4 2 3'
_cell_length_a 4.291
_cell_length_b 4.291
_cell_length_c 4.291
_cell_angle_alpha 90.00
_cell_angle_beta 90.00
_cell_angle_gamma 90.00
loop_
_atom_site_label
_atom_site_fract_x
_atom_site_fract_y
_atom_site_fract_z
Nb1 0.000 0.000 0.000
B1 0.000 0.500 0.500
I1 0.500 0.500 0.500
```

SbPOs2C | GGA-PBE | relaxed

Properties
Calculated total energy in eV/atom: -4.6770
Energy relative to the lowest polymorph listed for this composition in meV per atom: 2408
Calculated volume in Å³ per cell: 116.2
Formation energy (no corrections) in eV/atom: 3.5661
Crystal system: tetragonal

The structure in CIF format:
```
data_SbPOs2C
_space_group_name_H-M_alt 'P 4/m m m'
_space_group_IT_number 123
_space_group_name_Hall '-P 4 2'
_cell_length_a 4.882
_cell_length_b 4.882
_cell_length_c 4.874
_cell_angle_alpha 90.00
_cell_angle_beta 90.00
_cell_angle_gamma 90.00
loop_
_atom_site_label
_atom_site_fract_x
_atom_site_fract_y
_atom_site_fract_z
Sb1 0.000 0.000 0.000
P1 0.000 0.000 0.500
Os1 0.000 0.500 0.000
C1 0.500 0.500 0.500
```

NaTmTe2O6 | GGA-PBE | relaxed

Properties
Calculated total energy in eV/atom: -5.9719
Calculated volume in Å³ per cell: 607.0
Formation energy (no corrections) in eV/atom: -1.7896
Crystal system: monoclinic

The structure in CIF format:
```
data_NaTmTe2O6
_space_group_name_H-M_alt 'C 1 2/c 1'
_space_group_IT_number 15
_space_group_name_Hall '-C 2yc'
_cell_length_a 9.059
_cell_length_b 10.835
_cell_length_c 6.271
_cell_angle_alpha 90.00
_cell_angle_beta 99.54
_cell_angle_gamma 90.00
loop_
_atom_site_label
_atom_site_fract_x
_atom_site_fract_y
_atom_site_fract_z
Na1 0.000 0.233 0.250
Tm1 0.000 0.415 0.750
Te1 0.178 0.117 0.721
O1 0.072 0.120 0.958
O2 0.116 0.420 0.102
O3 0.182 0.292 0.683
```

TeRhPb2 | GGA-PBE | relaxed

Properties
Calculated total energy in eV/atom: -4.4700
Calculated volume in Å³ per cell: 102.3
Formation energy (no corrections) in eV/atom: 0.0075
Crystal system: tetragonal

The structure in CIF format:
```
data_TeRhPb2
_space_group_name_H-M_alt 'P 4/m m m'
_space_group_IT_number 123
_space_group_name_Hall '-P 4 2'
_cell_length_a 3.362
_cell_length_b 3.362
_cell_length_c 9.047
_cell_angle_alpha 90.00
_cell_angle_beta 90.00
_cell_angle_gamma 90.00
loop_
_atom_site_label
_atom_site_fract_x
_atom_site_fract_y
_atom_site_fract_z
Te1 0.000 0.000 0.000
Rh1 0.000 0.000 0.500
Pb1 0.500 0.500 0.309
```